Entry from the Alexandria database: a relaxed structure of Cu2PdPt (GGA-PBE).

Summary:
- DOS at the Fermi energy (states/eV per cell) = 7.983
- total magnetization (μB per formula unit) = 0.000
- uncorrected energy (eV per atom) = -4.61

The structure in CIF format:
```
data_Cu2PdPt
_chemical_formula_sum 'Cu4 Pd2 Pt2'
_cell_length_a 2.647
_cell_length_b 4.590
_cell_length_c 10.166
_cell_angle_alpha 90.00
_cell_angle_beta 90.00
_cell_angle_gamma 90.00
_symmetry_space_group_name_H-M 'I m m m'
_symmetry_Int_Tables_number 71
_symmetry_space_group_name_Hall '-I 2 2'
loop_
_atom_site_label
_atom_site_type_symbol
_atom_site_fract_x
_atom_site_fract_y
_atom_site_fract_z
Cu1 Cu 0.000 0.000 0.249
Pd1 Pd 0.000 0.000 0.500
Pt1 Pt 0.000 0.000 0.000
```

***

Entry from the Alexandria database: a relaxed structure of PmNdSi2Pt2 (GGA-PBE).

Summary:
- DOS at the Fermi energy (states/eV per cell) = 4.585
- raw formation energy (meV per atom) = -1119
- total magnetization (μB per formula unit) = 0.000
- uncorrected energy (eV per atom) = -6.53

The structure in CIF format:
```
data_PmNdSi2Pt2
_chemical_formula_sum 'Pm1 Nd1 Si2 Pt2'
_cell_length_a 4.1791
_cell_length_b 4.1791
_cell_length_c 8.5030
_cell_angle_alpha 90.00
_cell_angle_beta 90.00
_cell_angle_gamma 120.00
_symmetry_space_group_name_H-M 'P -3 m 1'
_symmetry_Int_Tables_number 164
_symmetry_space_group_name_Hall '-P 3 2"'
loop_
_atom_site_label
_atom_site_type_symbol
_atom_site_fract_x
_atom_site_fract_y
_atom_site_fract_z
Pm1 Pm 0.0000 0.0000 0.0000
Nd1 Nd 0.0000 0.0000 0.5000
Si1 Si 0.3333 0.6667 0.2489
Pt1 Pt 0.3333 0.6667 0.7527
```

***

Entry from the Alexandria database: a relaxed structure of NbGeAs2 (GGA-PBE).

Summary:
- DOS at the Fermi energy (states/eV per cell) = 3.999
- total magnetization (μB per formula unit) = 0.000
- uncorrected energy (eV per atom) = -6.17

The structure in CIF format:
```
data_NbGeAs2
_chemical_formula_sum 'Nb2 Ge2 As4'
_cell_length_a 9.802
_cell_length_b 3.311
_cell_length_c 5.480
_cell_angle_alpha 90.00
_cell_angle_beta 122.31
_cell_angle_gamma 90.00
_symmetry_space_group_name_H-M 'C 1 m 1'
_symmetry_Int_Tables_number 8
loop_
_symmetry_equiv_pos_as_xyz
'x,y,z'
'x,-y,z'
'x+1/2,y+1/2,z'
'x+1/2,-y+1/2,z'
loop_
_atom_site_label
_atom_site_type_symbol
_atom_site_fract_x
_atom_site_fract_y
_atom_site_fract_z
Nb1 Nb 0.000 0.000 0.000
Ge1 Ge 0.299 0.000 0.515
As1 As 0.000 0.500 0.364
As2 As 0.190 0.500 0.897
```

***

Entry from the Alexandria database: a relaxed structure of ErTm4Pt2 (GGA-PBE).

Summary:
- DOS at the Fermi energy (states/eV per cell) = 26.385
- total magnetization (μB per formula unit) = 0.000
- uncorrected energy (eV per atom) = -5.58
- polymorph energy (0 for the lowest one) (eV/atom) = 0.091

The structure in CIF format:
```
data_ErTm4Pt2
_chemical_formula_sum 'Er3 Tm12 Pt6'
_cell_length_a 4.7193
_cell_length_b 4.7193
_cell_length_c 30.1711
_cell_angle_alpha 90.00
_cell_angle_beta 90.00
_cell_angle_gamma 120.00
_symmetry_space_group_name_H-M 'R -3 m'
_symmetry_Int_Tables_number 166
_symmetry_space_group_name_Hall '-R 3 2"'
loop_
_atom_site_label
_atom_site_type_symbol
_atom_site_fract_x
_atom_site_fract_y
_atom_site_fract_z
Er1 Er 0.0000 0.0000 0.0000
Tm1 Tm 0.0000 0.0000 0.1999
Tm2 Tm 0.0000 0.0000 0.4017
Pt1 Pt 0.0000 0.0000 0.1007
```

***

Which formula does entry 4 have?
ErTm4Pt2

***

Which formula does entry 1 have?
Cu2PdPt